1.
! NaBeS2 | Alexandria | SCAN | single point on PBEsol structure; values from VASP
! **ΔE_f (raw)**: -0.5285 eV per atom
! **Raw total energy**: -7.485 eV/atom
! **Volume**: 22.8 Å³ per atom
&SYSTEM
  ibrav = 0, nat = 4, ntyp = 3
/
ATOMIC_SPECIES
Na 22.99 Na.upf
S 32.06 S.upf
Be 9.01 Be.upf
ATOMIC_POSITIONS crystal
Na 0.500 0.500 0.500
S 0.914 0.914 0.259
S 0.086 0.086 0.741
Be 0.000 0.000 0.000
CELL_PARAMETERS angstrom
3.826 0.000 0.000
1.913 3.313 0.000
1.913 1.104 7.204

2.
! Na2BeS | Alexandria | SCAN | single point on PBEsol structure; values from VASP
! **ΔE_f (raw)**: 0.2630 eV per atom
! **Raw total energy**: -5.340 eV/atom
! **Volume**: 18.6 Å³ per atom
&SYSTEM
  ibrav = 0, nat = 8, ntyp = 3
/
ATOMIC_SPECIES
Na 22.99 Na.upf
S 32.06 S.upf
Be 9.01 Be.upf
ATOMIC_POSITIONS crystal
Na 0.357 0.875 0.250
Na 0.893 0.375 0.250
Na 0.125 0.107 0.750
Na 0.625 0.643 0.750
S 0.250 0.750 0.500
S 0.000 0.000 0.000
Be 0.750 0.250 0.500
Be 0.500 0.500 0.000
CELL_PARAMETERS angstrom
-1.827 -1.396 3.120
-2.862 -1.309 -2.262
7.108 -7.238 -1.485

Question: What is the formula in the second record?
Answer: Na2BeS

Question: Which of these has the highest ΔE_f (raw)?
Answer: Na2BeS